Record 1
A plane-wave DFT calculation with PBE was carried out for crystalline Pr4Pb3I at its relaxed geometry.

```
Pr4Pb3I
1.0
-2.747 -5.705 -1.478
5.872 -2.572 -1.092
-1.189 2.341 7.537
Pb Pr I
3 4 1
direct
0.250 0.750 0.500
0.750 0.250 0.500
0.500 0.500 0.000
0.254 0.254 0.507
0.000 0.500 0.000
0.746 0.746 0.493
0.500 0.000 0.000
0.000 0.000 0.000
```

E_form (uncorrected): -671 meV per atom
V: 275.49 Å³ per cell

Record 2
A plane-wave DFT calculation with PBE was carried out for crystalline PRu at its relaxed geometry.

```
PRu
1.0
2.016 0.717 2.703
1.703 2.995 0.134
-0.948 2.422 2.263
P Ru
1 1
direct
0.000 0.000 0.000
0.500 0.500 0.500
```

ΔE to the lowest computed polymorph: 680 meV per atom
ΔH_f (0 K): 0.119 eV/atom
V: 28.98 Å³ per cell

Record 3
A plane-wave DFT calculation with PBE was carried out for crystalline Ac8IrRh3Cl4 at its relaxed geometry.

```
Ac8IrRh3Cl4
1.0
8.641 0.000 0.000
0.000 9.428 0.545
-4.321 -4.318 6.111
Ac Rh Cl Ir
8 3 4 1
direct
0.265 0.298 0.031
0.766 0.298 0.031
0.266 0.297 0.531
0.735 0.702 0.969
0.734 0.703 0.469
0.234 0.702 0.467
0.234 0.702 0.969
0.766 0.298 0.533
0.500 0.500 0.000
0.500 0.500 0.500
0.000 0.500 0.500
0.500 0.000 0.000
0.000 0.000 0.500
0.000 0.000 0.000
0.500 0.000 0.500
0.000 0.500 0.000
```

E_form (uncorrected): -1270 meV per atom
V: 518.18 Å³ per cell

Record 4
A plane-wave DFT calculation with PBE was carried out for crystalline Pm4Sm8Dy3 at its relaxed geometry.

```
Pm4Sm8Dy3
1.0
-5.072 -2.873 3.930
-0.687 -6.991 0.291
5.528 -3.630 10.768
Pm Sm Dy
4 8 3
direct
0.336 0.336 0.991
0.664 0.664 0.009
0.500 0.500 0.500
0.000 0.000 0.000
0.755 0.755 0.736
0.753 0.250 0.747
0.250 0.753 0.747
0.750 0.247 0.253
0.250 0.250 0.747
0.247 0.750 0.253
0.750 0.750 0.253
0.245 0.245 0.264
0.500 0.000 0.500
0.000 0.000 0.500
0.000 0.500 0.500
```

ΔE to the lowest computed polymorph: 0 meV per atom
ΔH_f (0 K): 0.125 eV/atom
V: 512.28 Å³ per cell

Record 5
A plane-wave DFT calculation with PBE was carried out for crystalline CrSbP at its relaxed geometry.

```
CrSbP
1.0
-4.340 2.687 -3.360
1.268 -3.762 -4.646
-4.112 -3.997 2.114
P Sb Cr
4 4 4
direct
0.345 0.155 0.845
0.155 0.845 0.345
0.655 0.655 0.655
0.845 0.345 0.155
0.673 0.827 0.173
0.827 0.173 0.673
0.327 0.327 0.327
0.173 0.673 0.827
0.049 0.049 0.049
0.549 0.451 0.951
0.951 0.549 0.451
0.451 0.951 0.549
```

ΔE to the lowest computed polymorph: 269 meV per atom
E_form (uncorrected): 106 meV per atom
V: 228.23 Å³ per cell

Record 6
A plane-wave DFT calculation with PBE was carried out for crystalline LiEr6Ta2O14 at its relaxed geometry.

```
LiEr6Ta2O14
1.0
5.411 3.815 -0.003
-5.411 3.815 -0.003
0.000 0.030 7.221
O Ta Li Er
14 2 1 6
direct
0.471 0.191 0.961
0.108 0.841 0.746
0.565 0.823 0.035
0.478 0.194 0.535
0.897 0.156 0.246
0.841 0.108 0.746
0.641 0.641 0.748
0.194 0.478 0.535
0.156 0.897 0.246
0.824 0.568 0.459
0.823 0.565 0.035
0.191 0.471 0.961
0.421 0.421 0.248
0.568 0.824 0.459
0.491 0.491 0.978
0.492 0.492 0.516
0.184 0.184 0.229
0.053 0.535 0.248
0.950 0.472 0.747
0.472 0.950 0.747
0.535 0.053 0.248
0.919 0.919 0.981
0.924 0.924 0.507
```

E_form (uncorrected): -3215 meV per atom
V: 298.12 Å³ per cell